Density functional theory data (PBE) for crystalline NaYMg2 at its relaxed geometry.

For the energy above the most stable polymorph in this dataset, the calculation gives 298.4 meV/atom. The value obtained for the calculated formation energy is 0.34 eV per atom. As for the density of states at the Fermi level: 14.211 states/eV per cell.

It has space group I-42d (No. 122), with a = 8.4919 Å, b = 8.4919 Å, c = 6.4403 Å, α = 90.00°, β = 90.00° and γ = 90.00°. The asymmetric unit holds Na at (0.0000, 0.0000, 0.0000), Y at (0.0000, 0.0000, 0.5000) and Mg at (0.2311, 0.2500, 0.1250).

***

Density functional theory data (PBE) for crystalline TaIn2Fe at its relaxed geometry.

For the energy above the most stable polymorph in this dataset, the calculation gives 54.9 meV/atom. The value obtained for the calculated formation energy is 0.16 eV per atom. As for the density of states at the Fermi level: 2.682 states/eV per cell.

It has space group P4mm (No. 99), with a = 3.0809 Å, b = 3.0809 Å, c = 8.0398 Å, α = 90.00°, β = 90.00° and γ = 90.00°. The asymmetric unit holds Ta at (0.0000, 0.0000, 0.0000), In at (0.0000, 0.0000, 0.3896), In at (0.5000, 0.5000, 0.7262) and Fe at (0.5000, 0.5000, 0.1646).